Model A:
CaTaCr | PBE-GGA | optimized geometry

Calculated values
Symmetry: Fmm2, No. 42
Mass density: 7.6 g/cm³
Total moment: 0.005 μB/cell

POSCAR file:
```
CaTaCr
1.0
3.3450 0.0000 0.0000
0.0000 5.0291 0.0000
0.0000 0.0000 14.2317
Ca Ta Cr
4 4 4
Direct
0.0000 0.0000 0.0000
0.0000 0.5000 0.5000
0.5000 0.0000 0.5000
0.5000 0.5000 0.0000
0.0000 0.0000 0.2984
0.0000 0.5000 0.7984
0.5000 0.0000 0.7984
0.5000 0.5000 0.2984
0.0000 0.0000 0.6751
0.0000 0.5000 0.1751
0.5000 0.0000 0.1751
0.5000 0.5000 0.6751
```

***

Model B:
CaTaCr | PBE-GGA | optimized geometry

Calculated values
Symmetry: I4mm, No. 107
Mass density: 7.3 g/cm³
Total moment: 1.598 μB/cell

POSCAR file:
```
CaTaCr
1.0
3.3156 0.0000 0.0000
0.0000 3.3156 0.0000
0.0000 0.0000 11.3709
Ca Ta Cr
2 2 2
Direct
0.0000 0.0000 0.0000
0.5000 0.5000 0.5000
0.0000 0.0000 0.2838
0.5000 0.5000 0.7838
0.0000 0.0000 0.6949
0.5000 0.5000 0.1949
```

***

Which structure loses on stability? model A does.

***

Model A:
Ca2TaCr | PBE-GGA | optimized geometry

Calculated values
Symmetry: P2/m, No. 10
Mass density: 5.4 g/cm³
Total moment: 2.718 μB/cell

POSCAR file:
```
Ca2TaCr
1.0
3.1067 0.0000 0.0000
0.0000 5.0542 0.0000
-0.0271 0.0000 6.1168
Ca Ta Cr
2 1 1
Direct
0.0002 0.0000 0.2488
0.9998 0.0000 0.7512
0.5000 0.5000 0.0000
0.5000 0.5000 0.5000
```

***

Model B:
Ca2TaCr | PBE-GGA | optimized geometry

Calculated values
Symmetry: P4/mmm, No. 123
Mass density: 5.6 g/cm³
Total moment: 1.818 μB/cell

POSCAR file:
```
Ca2TaCr
1.0
4.2854 0.0000 0.0000
0.0000 4.2854 0.0000
0.0000 0.0000 5.0680
Ca Ta Cr
2 1 1
Direct
0.0000 0.5000 0.0000
0.5000 0.0000 0.0000
0.0000 0.0000 0.5000
0.5000 0.5000 0.5000
```

***

Model C:
Ca2TaCr | PBE-GGA | optimized geometry

Calculated values
Symmetry: Imm2, No. 44
Mass density: 5.3 g/cm³
Total moment: 2.289 μB/cell

POSCAR file:
```
Ca2TaCr
1.0
3.3695 0.0000 0.0000
0.0000 5.5848 0.0000
0.0000 0.0000 10.4797
Ca Ta Cr
4 2 2
Direct
0.0000 0.0000 0.0000
0.0000 0.5000 0.2015
0.5000 0.0000 0.7015
0.5000 0.5000 0.5000
0.0000 0.0000 0.4146
0.5000 0.5000 0.9146
0.0000 0.5000 0.7502
0.5000 0.0000 0.2502
```

***

Model D:
Ca2TaCr | PBE-GGA | optimized geometry

Calculated values
Symmetry: I-42d, No. 122
Mass density: 5.2 g/cm³
Total moment: 15.496 μB/cell

POSCAR file:
```
Ca2TaCr
1.0
8.3415 0.0000 0.0000
0.0000 8.3415 0.0000
0.0000 0.0000 5.7362
Ca Ta Cr
8 4 4
Direct
0.2193 0.2500 0.1250
0.2500 0.7193 0.3750
0.2500 0.7807 0.8750
0.2807 0.2500 0.6250
0.7193 0.7500 0.6250
0.7500 0.2193 0.8750
0.7500 0.2807 0.3750
0.7807 0.7500 0.1250
0.0000 0.0000 0.5000
0.0000 0.5000 0.7500
0.5000 0.0000 0.2500
0.5000 0.5000 0.0000
0.0000 0.0000 0.0000
0.0000 0.5000 0.2500
0.5000 0.0000 0.7500
0.5000 0.5000 0.5000
```

***

Which structure loses on stability? model D does.

***

Model A:
Ca2TaCr | PBE-GGA | optimized geometry

Calculated values
Symmetry: Cmmm, No. 65
Mass density: 5.4 g/cm³
Total moment: 5.442 μB/cell

POSCAR file:
```
Ca2TaCr
1.0
6.1292 0.0000 0.0000
0.0000 10.0684 0.0000
0.0000 0.0000 3.1232
Ca Ta Cr
4 2 2
Direct
0.2500 0.2500 0.0000
0.2500 0.7500 0.0000
0.7500 0.2500 0.0000
0.7500 0.7500 0.0000
0.0000 0.0000 0.5000
0.5000 0.5000 0.5000
0.0000 0.5000 0.5000
0.5000 0.0000 0.5000
```

***

Model B:
Ca2TaCr | PBE-GGA | optimized geometry

Calculated values
Symmetry: Cm, No. 8
Mass density: 4.7 g/cm³
Total moment: 2.311 μB/cell

POSCAR file:
```
Ca2TaCr
1.0
8.4116 0.0000 0.0000
0.0000 3.2386 0.0000
-0.6686 0.0000 8.1057
Ca Ta Cr
4 2 2
Direct
0.0000 0.0000 0.0000
0.2196 0.0000 0.6064
0.5000 0.5000 0.0000
0.7196 0.5000 0.6064
0.2564 0.5000 0.2690
0.7564 0.0000 0.2690
0.4871 0.0000 0.3350
0.9871 0.5000 0.3350
```

***

Which structure loses on stability? model A does.